20
Lattice="5.167 0.000 0.071 0.000 5.064 0.000 0.119 0.000 8.391" Properties=species:S:1:pos:R:3 comment="PBE with a Hubbard U Fe2NiOsO6, relaxed" dos_at_fermi_per_ev_cell=3.40 dft_energy_ev_per_atom=-6.53 pbc="T T T"
O 4.367 4.156 4.416
O 1.817 4.112 5.749
O 1.724 3.440 0.184
O 3.562 1.624 8.278
O 4.341 3.484 1.589
O 0.919 0.908 4.047
O 3.469 0.952 2.713
O 0.990 1.152 1.180
O 4.296 3.912 7.282
O 0.945 1.580 6.873
O 1.653 3.684 3.051
O 3.633 1.380 5.411
Fe 0.069 4.980 2.464
Fe 2.712 2.616 6.695
Fe 5.217 0.084 5.998
Fe 2.574 2.448 1.767
Ni 0.060 2.532 4.196
Ni 2.584 0.000 0.035
Os 0.000 2.532 0.000
Os 2.643 0.000 4.231